This record from Alexandria describes a geometry-optimized AsOs2Au structure. The functional is PBE.

Properties
- Calculated formation energy: 0.807 eV/atom
- Density of states at the Fermi level: 0.92 states/eV per atom
- Space-group type: I-4m2, No. 119
- Electronic total energy: -27.2 eV/f.u.

Cell: 3.986 3.986 7.920 Å, 90.00 90.00 90.00°
Sites, in units of the cell vectors:
As 0.000 0.000 0.000
As 0.500 0.500 0.500
Os 0.000 0.000 0.500
Os 0.000 0.500 0.250
Os 0.500 0.000 0.750
Os 0.500 0.500 0.000
Au 0.000 0.500 0.750
Au 0.500 0.000 0.250